No. 1
Entry from Alexandria: BaAcPt4 after structural relaxation (GGA-PBE).

a b c (Å): 5.680 5.680 5.680
angles (deg): 60.00 60.00 60.00
Fractional positions:
Ac (0.000, 0.000, 0.000)
Ba (0.250, 0.250, 0.250)
Pt (0.625, 0.625, 0.625)
Pt (0.625, 0.625, 0.125)
Pt (0.125, 0.625, 0.625)
Pt (0.625, 0.125, 0.625)

- Total magnetic moment: 0.000 μB/f.u.
- Space-group type: F-43m, No. 216
- Density: 14.67 g/cm3
- Energy of formation: -5.3 eV/f.u.
- N(E_F): 4.13 states/eV/f.u.

---

No. 2
Entry from Alexandria: Ba2AcSb3Pt4 after structural relaxation (GGA-PBE).

a b c (Å): 4.859 4.859 11.386
angles (deg): 90.00 90.00 90.00
Fractional positions:
Ac (0.500, 0.500, 0.500)
Pt (0.000, 0.000, 0.000)
Ba (0.000, 0.500, 0.778)
Pt (0.500, 0.500, 0.000)
Pt (0.500, 0.000, 0.652)
Sb (0.500, 0.000, 0.887)
Sb (0.000, 0.000, 0.500)
Pt (0.000, 0.500, 0.348)
Sb (0.000, 0.500, 0.113)
Ba (0.500, 0.000, 0.222)

- Total magnetic moment: 0.000 μB/f.u.
- Formation energy from raw total energies: -0.8465 eV per atom
- Space-group type: P-4m2, No. 115
- Density: 10.18 g/cm3
- N(E_F): 5.68 states/eV/f.u.

---

No. 3
Entry from Alexandria: BaAcTlPt after structural relaxation (GGA-PBE).

a b c (Å): 5.652 5.652 5.652
angles (deg): 60.00 60.00 60.00
Fractional positions:
Pt (0.250, 0.250, 0.250)
Ba (0.500, 0.500, 0.500)
Ac (0.000, 0.000, 0.000)
Tl (0.750, 0.750, 0.750)

- Total magnetic moment: 0.000 μB/f.u.
- Space-group type: F-43m, No. 216
- Density: 9.93 g/cm3
- Energy of formation: -1.9 eV/f.u.
- N(E_F): 3.18 states/eV/f.u.

---

No. 4
Entry from Alexandria: Ba2AcPuS5 after structural relaxation (GGA-PBE).

a b c (Å): 5.036 5.036 11.214
angles (deg): 90.00 90.00 90.00
Fractional positions:
S (0.000, 0.000, 0.251)
Ba (0.500, 0.500, 0.297)
S (0.500, 0.000, 0.500)
S (0.000, 0.500, 0.500)
Ac (0.000, 0.000, 0.000)
Ba (0.500, 0.500, 0.703)
S (0.000, 0.000, 0.749)
Pu (0.000, 0.000, 0.500)
S (0.500, 0.500, 0.000)

- Total magnetic moment: 4.883 μB/f.u.
- Formation energy from raw total energies: -1.7986 eV per atom
- Space-group type: P4/mmm, No. 123
- Density: 5.29 g/cm3
- N(E_F): 6.67 states/eV/f.u.

---

No. 5
Entry from Alexandria: Ba3Ac2PuSe6 after structural relaxation (GGA-PBE).

a b c (Å): 4.509 9.128 10.192
angles (deg): 104.02 102.78 90.00
Fractional positions:
Ac (0.836, 0.671, 0.672)
Ba (0.500, 0.500, 0.000)
Se (0.671, 0.575, 0.342)
Se (0.329, 0.425, 0.658)
Ba (0.833, 0.166, 0.666)
Se (0.341, 0.911, 0.682)
Se (0.002, 0.228, 0.004)
Ac (0.164, 0.329, 0.328)
Se (0.998, 0.772, 0.996)
Pu (0.500, 0.000, 0.000)
Ba (0.167, 0.834, 0.334)
Se (0.659, 0.089, 0.318)

- Total magnetic moment: 6.045 μB/f.u.
- Formation energy from raw total energies: -1.8721 eV per atom
- Space-group type: C2/m, No. 12
- Density: 6.64 g/cm3
- N(E_F): 17.31 states/eV/f.u.

---

No. 6
Entry from Alexandria: Ba4Ac3PuTe8 after structural relaxation (GGA-PBE).

a b c (Å): 9.593 9.711 9.593
angles (deg): 119.60 120.00 90.00
Fractional positions:
Te (0.240, 0.731, 0.991)
Ac (0.000, 0.500, 0.500)
Te (0.254, 0.263, 0.509)
Te (0.760, 0.269, 0.520)
Ba (0.500, 0.000, 0.000)
Ac (0.500, 0.500, 0.000)
Ba (0.500, 0.000, 0.500)
Te (0.249, 0.269, 0.009)
Te (0.746, 0.737, 0.491)
Te (0.751, 0.731, 0.991)
Pu (0.000, 0.500, 0.000)
Te (0.240, 0.731, 0.480)
Ac (0.500, 0.500, 0.500)
Ba (0.000, 0.000, 0.000)
Ba (0.000, 0.000, 0.500)
Te (0.760, 0.269, 0.009)

- Total magnetic moment: 6.093 μB/f.u.
- Formation energy from raw total energies: -1.5727 eV per atom
- Space-group type: R-3m, No. 166
- Density: 6.52 g/cm3
- N(E_F): 21.38 states/eV/f.u.

---

No. 7
Entry from Alexandria: BaAc2Pu3Te6 after structural relaxation (GGA-PBE).

a b c (Å): 4.600 9.310 10.364
angles (deg): 103.03 102.82 90.00
Fractional positions:
Pu (0.834, 0.167, 0.667)
Te (0.338, 0.405, 0.675)
Ba (0.500, 0.000, 0.000)
Pu (0.500, 0.500, 0.000)
Te (0.662, 0.595, 0.325)
Te (0.673, 0.075, 0.347)
Te (0.997, 0.268, 0.994)
Ac (0.167, 0.336, 0.335)
Ac (0.833, 0.664, 0.665)
Te (0.327, 0.925, 0.653)
Te (0.003, 0.732, 0.006)
Pu (0.166, 0.833, 0.333)

- Total magnetic moment: 6.018 μB/f.u.
- Formation energy from raw total energies: -1.3061 eV per atom
- Space-group type: C2/m, No. 12
- Density: 8.24 g/cm3
- N(E_F): 41.81 states/eV/f.u.

---

No. 8
Entry from Alexandria: RbBa2Ac after structural relaxation (GGA-PBE).

a b c (Å): 4.293 4.293 15.620
angles (deg): 82.10 82.10 60.00
Fractional positions:
Ba (0.906, 0.906, 0.283)
Rb (0.000, 0.000, 0.000)
Ba (0.094, 0.094, 0.717)
Ac (0.500, 0.500, 0.500)

- Total magnetic moment: 0.001 μB/f.u.
- Relative energy among the computed polymorphs: 0.031 eV/atom
- Space-group type: R-3m, No. 166
- Density: 3.96 g/cm3
- Energy of formation: 0.6 eV/f.u.
- N(E_F): 6.49 states/eV/f.u.

---

No. 9
Entry from Alexandria: RbBaAc after structural relaxation (GGA-PBE).

a b c (Å): 4.249 4.249 11.323
angles (deg): 90.00 90.00 120.00
Fractional positions:
Rb (0.667, 0.333, 0.324)
Ba (0.333, 0.667, 0.692)
Ac (0.000, 0.000, 0.984)

- Total magnetic moment: 0.374 μB/f.u.
- Relative energy among the computed polymorphs: 0.000 eV/atom
- Space-group type: P3m1, No. 156
- Density: 4.22 g/cm3
- Energy of formation: 0.6 eV/f.u.
- N(E_F): 4.67 states/eV/f.u.

---

No. 10
Entry from Alexandria: RbBaAc after structural relaxation (GGA-PBE).

a b c (Å): 7.515 7.919 8.425
angles (deg): 77.78 63.51 61.67
Fractional positions:
Rb (0.154, 0.692, 0.000)
Ac (0.750, 0.500, 0.500)
Ac (0.250, 0.500, 0.500)
Ba (0.335, 0.000, 0.330)
Rb (0.846, 0.308, 0.000)
Ba (0.665, 0.000, 0.670)

- Total magnetic moment: 0.000 μB/f.u.
- Relative energy among the computed polymorphs: 0.143 eV/atom
- Space-group type: Fmmm, No. 69
- Density: 3.78 g/cm3
- Energy of formation: 1.0 eV/f.u.
- N(E_F): 4.08 states/eV/f.u.

---

No. 11
Entry from Alexandria: RbBa2Ac after structural relaxation (GGA-PBE).

a b c (Å): 4.250 4.250 13.511
angles (deg): 90.00 90.00 90.00
Fractional positions:
Ac (0.500, 0.500, 0.000)
Ba (0.000, 0.000, 0.784)
Ba (0.000, 0.000, 0.216)
Rb (0.500, 0.500, 0.500)

- Total magnetic moment: 0.000 μB/f.u.
- Relative energy among the computed polymorphs: 0.000 eV/atom
- Space-group type: P4/mmm, No. 123
- Density: 4.00 g/cm3
- Energy of formation: 0.5 eV/f.u.
- N(E_F): 7.00 states/eV/f.u.

---

No. 12
Entry from Alexandria: RbBa2Ac after structural relaxation (GGA-PBE).

a b c (Å): 4.478 7.261 7.261
angles (deg): 90.00 90.00 90.00
Fractional positions:
Rb (0.500, 0.500, 0.500)
Ac (0.500, 0.000, 0.000)
Ba (0.000, 0.000, 0.500)
Ba (0.000, 0.500, 0.000)

- Total magnetic moment: 0.000 μB/f.u.
- Relative energy among the computed polymorphs: 0.102 eV/atom
- Space-group type: P4/mmm, No. 123
- Density: 4.13 g/cm3
- Energy of formation: 0.9 eV/f.u.
- N(E_F): 5.50 states/eV/f.u.